BaZn2Sb | PBE | relaxed

Computed properties:
Energy relative to the elements, uncorrected ... -28.1 kJ/mol of atoms
Raw total energy ... -9.76 eV/cell
Volume ... 115 Å³ per cell

Cell: 4.5020 4.3949 6.0285 Å, 90.00 105.29 90.00°
Element x y z (fractional)
Ba1 0.0000 0.0000 0.0000
Zn1 0.5587 0.0000 0.4606
Zn2 0.6779 0.5000 0.2992
Sb1 0.2833 0.5000 0.6196